[1]
Material: Ac2SbPt
Method: DFT, GGA-PBE
State: relaxed

Results
relative energy among the computed polymorphs: 285 kJ/mol of formula units

Cell lengths 4.7832, 4.7832, 27.6494 Å; angles 90.00, 90.00, 120.00 degrees
Space group R-3m (No. 166, hexagonal axes)
Asymmetric unit:
Ac (0.0000, 0.0000, 0.0996) [6 per cell]
Sb (0.0000, 0.0000, 0.5000) [3 per cell]
Pt (0.0000, 0.0000, 0.0000) [3 per cell]

[2]
Material: Ac2Sb2Pt5
Method: DFT, GGA-PBE
State: relaxed

Cell lengths 4.857, 4.857, 8.864 Å; angles 90.00, 90.00, 90.00 degrees
Space group P4/mmm (No. 123)
Asymmetric unit:
Ac (0.000, 0.000, 0.000) [1 per cell]
Ac (0.000, 0.000, 0.500) [1 per cell]
Sb (0.500, 0.500, 0.171) [2 per cell]
Pt (0.000, 0.500, 0.280) [4 per cell]
Pt (0.500, 0.500, 0.500) [1 per cell]

[3]
Material: AcSb2Pt
Method: DFT, GGA-PBE
State: relaxed

Results
relative energy among the computed polymorphs: 93 kJ/mol of formula units

Cell lengths 4.743, 4.743, 4.686 Å; angles 90.00, 90.00, 90.00 degrees
Space group P4/mmm (No. 123)
Asymmetric unit:
Ac (0.000, 0.000, 0.000) [1 per cell]
Sb (0.000, 0.500, 0.500) [2 per cell]
Pt (0.500, 0.500, 0.000) [1 per cell]

[4]
Material: Ac2SbPt
Method: DFT, GGA-PBE
State: relaxed

Results
relative energy among the computed polymorphs: 0 kJ/mol of formula units

Cell lengths 4.426, 24.739, 4.871 Å; angles 90.00, 90.00, 90.00 degrees
Space group Cmcm (No. 63)
Asymmetric unit:
Ac (0.000, 0.057, 0.250) [4 per cell]
Ac (0.000, 0.328, 0.250) [4 per cell]
Sb (0.000, 0.190, 0.250) [4 per cell]
Pt (0.000, 0.458, 0.250) [4 per cell]

[5]
Material: AcSbPt
Method: DFT, GGA-PBE
State: relaxed

Results
relative energy among the computed polymorphs: 2 kJ/mol of formula units

Cell lengths 4.6471, 4.6471, 4.4315 Å; angles 90.00, 90.00, 120.00 degrees
Space group P3m1 (No. 156)
Asymmetric unit:
Ac (0.0000, 0.0000, 0.0000) [1 per cell]
Sb (0.3333, 0.6667, 0.4919) [1 per cell]
Pt (0.6667, 0.3333, 0.5392) [1 per cell]

[6]
Material: Ac2SbPt
Method: DFT, GGA-PBE
State: relaxed

Results
relative energy among the computed polymorphs: 10 kJ/mol of formula units

Cell lengths 4.5573, 4.5573, 23.2647 Å; angles 90.00, 90.00, 120.00 degrees
Space group R3m (No. 160, hexagonal axes)
Asymmetric unit:
Ac (0.0000, 0.0000, 0.0000) [3 per cell]
Ac (0.0000, 0.0000, 0.1853) [3 per cell]
Sb (0.0000, 0.0000, 0.4274) [3 per cell]
Pt (0.0000, 0.0000, 0.5921) [3 per cell]

Energy relative to the elements, uncorrected values (in eV per atom) by entry order: -0.310, -0.773, -0.521, -1.047, -1.158, -1.022.